Y2HoNi | PBE | relaxed

## Properties
The calculated total energy is -5.965 eV/atom. The value obtained for the energy relative to the elements is -0.14 eV/atom. The magnetization is 0.000 μB per atom. As for the space-group type: P4/mmm.

Cell and atoms, written as POSCAR:
```
Y2HoNi
1.0
-2.135 -0.457 2.675
2.404 -1.896 1.596
3.154 7.146 3.739
Y Ni Ho
2 1 1
direct
0.000 0.000 0.812 Y
0.000 0.000 0.188 Y
0.500 0.500 0.000 Ni
0.500 0.500 0.500 Ho
```

---

Y2HoNi | PBE | relaxed

## Properties
The calculated total energy is -6.066 eV/atom. The value obtained for the energy relative to the elements is -0.24 eV/atom. The magnetization is 0.000 μB per atom. As for the space-group type: Pnma.

Cell and atoms, written as POSCAR:
```
Y2HoNi
1.0
6.358 0.000 0.000
0.000 6.851 0.000
0.000 0.000 9.601
Y Ho Ni
8 4 4
direct
0.179 0.678 0.066 Y
0.321 0.178 0.434 Y
0.821 0.322 0.566 Y
0.679 0.822 0.934 Y
0.821 0.322 0.934 Y
0.679 0.822 0.566 Y
0.179 0.678 0.434 Y
0.321 0.178 0.066 Y
0.641 0.535 0.250 Ho
0.859 0.035 0.250 Ho
0.359 0.465 0.750 Ho
0.141 0.965 0.750 Ho
0.047 0.390 0.250 Ni
0.453 0.890 0.250 Ni
0.953 0.610 0.750 Ni
0.547 0.110 0.750 Ni
```

---

Y2HoNi | PBE | relaxed

## Properties
The calculated total energy is -5.878 eV/atom. The value obtained for the energy relative to the elements is -0.06 eV/atom. The magnetization is 0.000 μB per atom. As for the space-group type: R-3m.

Cell and atoms, written as POSCAR:
```
Y2HoNi
1.0
3.659 0.000 0.000
1.829 3.168 0.000
1.829 1.056 9.464
Y Ni Ho
2 1 1
direct
0.728 0.728 0.816 Y
0.272 0.272 0.184 Y
0.000 0.000 0.000 Ni
0.500 0.500 0.500 Ho
```

---

Y2HoNi2 | PBE | relaxed

## Properties
The calculated total energy is -6.140 eV/atom. The value obtained for the energy relative to the elements is -0.33 eV/atom. The magnetization is 0.000 μB per atom. As for the space-group type: C2/c.

Cell and atoms, written as POSCAR:
```
Y2HoNi2
1.0
-2.190 -1.640 5.142
-1.512 -3.464 -5.047
6.275 -3.003 1.715
Y Ho Ni
4 2 4
direct
0.548 0.315 0.153 Y
0.233 0.685 0.347 Y
0.452 0.685 0.847 Y
0.767 0.315 0.653 Y
0.909 0.000 0.250 Ho
0.091 0.000 0.750 Ho
0.699 0.680 0.490 Ni
0.020 0.320 0.010 Ni
0.301 0.320 0.510 Ni
0.980 0.680 0.990 Ni
```

---

YHo3Ni8 | PBE | relaxed

## Properties
The calculated total energy is -5.990 eV/atom. The value obtained for the energy relative to the elements is -0.45 eV/atom. The magnetization is 0.000 μB per atom. As for the space-group type: R3m.

Cell and atoms, written as POSCAR:
```
YHo3Ni8
1.0
4.839 0.000 1.461
2.199 4.311 1.461
-0.009 -0.006 8.776
Y Ho Ni
1 3 8
direct
0.875 0.875 0.375 Y
0.375 0.375 0.875 Ho
0.000 0.000 0.000 Ho
0.500 0.500 0.501 Ho
0.938 0.438 0.186 Ni
0.436 0.938 0.688 Ni
0.438 0.438 0.186 Ni
0.938 0.938 0.688 Ni
0.187 0.187 0.438 Ni
0.687 0.687 0.938 Ni
0.438 0.938 0.186 Ni
0.938 0.436 0.688 Ni
```

---

Y2HoNi2 | PBE | relaxed

## Properties
The calculated total energy is -6.029 eV/atom. The value obtained for the energy relative to the elements is -0.22 eV/atom. The magnetization is 0.000 μB per atom. As for the space-group type: C2/m.

Cell and atoms, written as POSCAR:
```
Y2HoNi2
1.0
3.739 0.000 0.000
0.000 5.539 0.080
-1.869 -1.508 5.538
Y Ho Ni
2 1 2
direct
0.353 0.412 0.706 Y
0.647 0.588 0.294 Y
0.000 0.000 0.000 Ho
0.711 0.110 0.421 Ni
0.289 0.890 0.579 Ni
```

---

YHo3Ni2 | PBE | relaxed

## Properties
The calculated total energy is -5.593 eV/atom. The value obtained for the energy relative to the elements is -0.30 eV/atom. The magnetization is 0.000 μB per atom. As for the space-group type: C2/m.

Cell and atoms, written as POSCAR:
```
YHo3Ni2
1.0
0.437 3.747 0.904
-2.046 0.325 7.963
8.733 -0.096 4.495
Y Ho Ni
2 6 4
direct
0.847 0.561 0.744 Y
0.153 0.439 0.256 Y
0.155 0.938 0.753 Ho
0.845 0.062 0.247 Ho
0.418 0.223 0.941 Ho
0.582 0.777 0.059 Ho
0.583 0.275 0.560 Ho
0.417 0.725 0.440 Ho
0.231 0.587 0.951 Ni
0.769 0.413 0.049 Ni
0.768 0.913 0.550 Ni
0.232 0.087 0.450 Ni
```

---

YHo5Ni2 | PBE | relaxed

## Properties
The calculated total energy is -5.276 eV/atom. The value obtained for the energy relative to the elements is -0.16 eV/atom. The magnetization is 0.000 μB per atom. As for the space-group type: Cmcm.

Cell and atoms, written as POSCAR:
```
YHo5Ni2
1.0
3.614 0.000 0.000
-1.807 6.502 0.000
0.000 0.000 18.228
Y Ho Ni
2 10 4
direct
0.711 0.422 0.750 Y
0.289 0.578 0.250 Y
0.938 0.875 0.913 Ho
0.938 0.875 0.587 Ho
0.326 0.651 0.440 Ho
0.326 0.651 0.060 Ho
0.566 0.131 0.250 Ho
0.434 0.869 0.750 Ho
0.674 0.349 0.560 Ho
0.674 0.349 0.940 Ho
0.062 0.125 0.087 Ho
0.062 0.125 0.413 Ho
0.706 0.412 0.363 Ni
0.706 0.412 0.137 Ni
0.294 0.588 0.637 Ni
0.294 0.588 0.863 Ni
```

---

YHoZnNi | PBE | relaxed

## Properties
The calculated total energy is -4.902 eV/atom. The value obtained for the energy relative to the elements is -0.38 eV/atom. The magnetization is 0.000 μB per atom. As for the space-group type: P4mm.

Cell and atoms, written as POSCAR:
```
YHoZnNi
1.0
3.463 0.000 0.000
0.000 3.463 0.000
0.000 0.000 6.969
Y Ho Zn Ni
1 1 1 1
direct
0.000 0.000 0.843 Y
0.000 0.000 0.374 Ho
0.500 0.500 0.112 Zn
0.500 0.500 0.600 Ni
```

---

YHoZnNi | PBE | relaxed

## Properties
The calculated total energy is -4.876 eV/atom. The value obtained for the energy relative to the elements is -0.35 eV/atom. The magnetization is 0.000 μB per atom. As for the space-group type: F-43m.

Cell and atoms, written as POSCAR:
```
YHoZnNi
1.0
-1.962 2.926 -3.414
-4.837 0.816 -0.045
-1.756 4.404 1.259
Y Ni Zn Ho
1 1 1 1
direct
0.500 0.500 0.500 Y
0.750 0.750 0.750 Ni
0.250 0.250 0.250 Zn
0.000 0.000 0.000 Ho
```

---

Ho3Zn3Ni2 | PBE | relaxed

## Properties
The calculated total energy is -4.050 eV/atom. The value obtained for the energy relative to the elements is -0.41 eV/atom. The magnetization is 0.000 μB per atom. As for the space-group type: Pnma.

Cell and atoms, written as POSCAR:
```
Ho3Zn3Ni2
1.0
-1.249 -4.392 -2.796
1.236 -4.131 5.938
-14.970 1.575 4.213
Ho Zn Ni
12 12 8
direct
0.118 0.462 0.393 Ho
0.618 0.038 0.607 Ho
0.882 0.538 0.893 Ho
0.382 0.962 0.107 Ho
0.882 0.538 0.607 Ho
0.382 0.962 0.393 Ho
0.118 0.462 0.107 Ho
0.618 0.038 0.893 Ho
0.639 0.333 0.250 Ho
0.139 0.167 0.750 Ho
0.361 0.667 0.750 Ho
0.861 0.833 0.250 Ho
0.132 0.174 0.250 Zn
0.632 0.326 0.750 Zn
0.868 0.826 0.750 Zn
0.368 0.674 0.250 Zn
0.603 0.325 0.467 Zn
0.103 0.175 0.533 Zn
0.397 0.675 0.967 Zn
0.897 0.825 0.033 Zn
0.397 0.675 0.533 Zn
0.897 0.825 0.467 Zn
0.603 0.325 0.033 Zn
0.103 0.175 0.967 Zn
0.879 0.117 0.385 Ni
0.379 0.383 0.615 Ni
0.121 0.883 0.885 Ni
0.621 0.617 0.115 Ni
0.121 0.883 0.615 Ni
0.621 0.617 0.385 Ni
0.879 0.117 0.115 Ni
0.379 0.383 0.885 Ni
```

---

Ho3Zn2Ni6 | PBE | relaxed

## Properties
The calculated total energy is -5.106 eV/atom. The value obtained for the energy relative to the elements is -0.47 eV/atom. The magnetization is 0.000 μB per atom. As for the space-group type: Im-3m.

Cell and atoms, written as POSCAR:
```
Ho3Zn2Ni6
1.0
-6.792 2.142 2.897
-0.601 -7.055 -2.996
5.276 -0.032 5.592
Ho Zn Ni
6 4 12
direct
0.705 0.000 0.705 Ho
0.295 0.000 0.295 Ho
0.000 0.295 0.295 Ho
0.000 0.705 0.705 Ho
0.295 0.295 0.000 Ho
0.705 0.705 0.000 Ho
0.000 0.500 0.000 Zn
0.500 0.000 0.000 Zn
0.000 0.000 0.500 Zn
0.500 0.500 0.500 Zn
0.661 0.322 0.661 Ni
0.661 0.000 0.339 Ni
0.339 0.000 0.661 Ni
0.339 0.678 0.339 Ni
0.000 0.661 0.339 Ni
0.678 0.339 0.339 Ni
0.322 0.661 0.661 Ni
0.000 0.339 0.661 Ni
0.339 0.661 0.000 Ni
0.661 0.661 0.322 Ni
0.339 0.339 0.678 Ni
0.661 0.339 0.000 Ni
```

---

HoZnNi5 | PBE | relaxed

## Properties
The calculated total energy is -5.283 eV/atom. The value obtained for the energy relative to the elements is -0.32 eV/atom. The magnetization is 0.082 μB per atom. As for the space-group type: Pnma.

Cell and atoms, written as POSCAR:
```
HoZnNi5
1.0
-0.012 -4.159 -2.381
7.464 -1.269 2.179
-3.194 -4.689 8.207
Ho Zn Ni
4 4 20
direct
0.250 0.245 0.940 Ho
0.750 0.255 0.440 Ho
0.250 0.745 0.560 Ho
0.750 0.755 0.060 Ho
0.250 0.860 0.858 Zn
0.750 0.640 0.358 Zn
0.250 0.360 0.642 Zn
0.750 0.140 0.142 Zn
0.250 0.594 0.018 Ni
0.750 0.906 0.518 Ni
0.250 0.094 0.482 Ni
0.750 0.406 0.982 Ni
0.750 0.314 0.750 Ni
0.250 0.186 0.250 Ni
0.750 0.814 0.750 Ni
0.250 0.686 0.250 Ni
0.250 0.947 0.097 Ni
0.750 0.553 0.597 Ni
0.250 0.447 0.403 Ni
0.750 0.053 0.903 Ni
0.996 0.433 0.192 Ni
0.004 0.067 0.692 Ni
0.504 0.933 0.308 Ni
0.496 0.567 0.808 Ni
0.004 0.567 0.808 Ni
0.996 0.933 0.308 Ni
0.496 0.067 0.692 Ni
0.504 0.433 0.192 Ni
```

---

Ho4ZnNi3 | PBE | relaxed

## Properties
The calculated total energy is -5.044 eV/atom. The value obtained for the energy relative to the elements is -0.43 eV/atom. The magnetization is 0.000 μB per atom. As for the space-group type: Pmm2.

Cell and atoms, written as POSCAR:
```
Ho4ZnNi3
1.0
-0.953 2.652 2.374
-3.606 0.720 -2.252
-4.992 -6.959 5.770
Ni Zn Ho
3 1 4
direct
0.000 0.500 0.574 Ni
0.000 0.000 0.429 Ni
0.500 0.000 0.929 Ni
0.500 0.500 0.070 Zn
0.500 0.500 0.370 Ho
0.000 0.500 0.848 Ho
0.000 0.000 0.144 Ho
0.500 0.000 0.636 Ho
```

---

HoZn3Ni2 | PBE | relaxed

## Properties
The calculated total energy is -3.450 eV/atom. The value obtained for the energy relative to the elements is -0.12 eV/atom. The magnetization is 0.000 μB per atom. As for the space-group type: R-3m.

Cell and atoms, written as POSCAR:
```
HoZn3Ni2
1.0
5.865 0.000 0.000
2.933 5.080 0.000
2.933 1.693 6.387
Ho Zn Ni
2 6 4
direct
0.775 0.775 0.675 Ho
0.225 0.225 0.325 Ho
0.248 0.728 0.295 Zn
0.728 0.248 0.295 Zn
0.728 0.728 0.295 Zn
0.272 0.752 0.705 Zn
0.752 0.272 0.705 Zn
0.272 0.272 0.705 Zn
0.000 0.000 0.000 Ni
0.000 0.500 0.000 Ni
0.500 0.500 0.000 Ni
0.500 0.000 0.000 Ni
```

---

Ho7Zn2Ni2 | PBE | relaxed

## Properties
The calculated total energy is -4.347 eV/atom. The value obtained for the energy relative to the elements is -0.15 eV/atom. The magnetization is 0.000 μB per atom. As for the space-group type: Cmmm.

Cell and atoms, written as POSCAR:
```
Ho7Zn2Ni2
1.0
-1.579 -2.372 -5.961
4.529 -5.097 0.828
-3.871 -2.688 4.631
Ho Zn Ni
7 2 2
direct
0.000 0.255 0.500 Ho
0.500 0.745 0.000 Ho
0.000 0.745 0.500 Ho
0.500 0.255 0.000 Ho
0.000 0.000 0.000 Ho
0.500 0.752 0.500 Ho
0.500 0.248 0.500 Ho
0.832 0.500 0.832 Zn
0.168 0.500 0.168 Zn
0.703 0.000 0.297 Ni
0.297 0.000 0.703 Ni
```

---

Ho6Zn5Ni | PBE | relaxed

## Properties
The calculated total energy is -3.658 eV/atom. The value obtained for the energy relative to the elements is -0.36 eV/atom. The magnetization is 0.000 μB per atom. As for the space-group type: P2/m.

Cell and atoms, written as POSCAR:
```
Ho6Zn5Ni
1.0
-4.464 0.738 -2.088
2.409 -2.618 -6.075
-4.340 -6.465 1.065
Ni Zn Ho
1 5 6
direct
0.000 0.000 0.000 Ni
0.670 0.500 0.660 Zn
0.327 0.000 0.346 Zn
0.000 0.500 0.000 Zn
0.673 0.000 0.654 Zn
0.330 0.500 0.340 Zn
0.838 0.754 0.324 Ho
0.838 0.246 0.324 Ho
0.500 0.241 0.000 Ho
0.500 0.759 0.000 Ho
0.162 0.754 0.676 Ho
0.162 0.246 0.676 Ho
```

---

Ho4Zn2Ni | PBE | relaxed

## Properties
The calculated total energy is -4.029 eV/atom. The value obtained for the energy relative to the elements is -0.22 eV/atom. The magnetization is 0.000 μB per atom. As for the space-group type: I4/mmm.

Cell and atoms, written as POSCAR:
```
Ho4Zn2Ni
1.0
-4.525 -0.961 -3.814
4.962 1.339 -3.088
0.941 -4.940 3.264
Ho Zn Ni
4 2 1
direct
0.500 0.000 0.000 Ho
0.500 0.500 0.500 Ho
0.000 0.000 0.500 Ho
0.000 0.500 0.000 Ho
0.500 0.500 0.000 Zn
0.500 0.000 0.500 Zn
0.000 0.000 0.000 Ni
```

---

Ho3ZnNi4 | PBE | relaxed

## Properties
The calculated total energy is -5.070 eV/atom. The value obtained for the energy relative to the elements is -0.30 eV/atom. The magnetization is 0.000 μB per atom. As for the space-group type: Immm.

Cell and atoms, written as POSCAR:
```
Ho3ZnNi4
1.0
-0.309 3.679 -1.395
-5.265 -0.171 0.715
3.622 0.898 7.150
Ho Zn Ni
3 1 4
direct
0.000 0.500 0.000 Ho
0.195 0.195 0.390 Ho
0.805 0.805 0.610 Ho
0.500 0.000 0.000 Zn
0.376 0.590 0.752 Ni
0.624 0.410 0.248 Ni
0.624 0.838 0.248 Ni
0.376 0.162 0.752 Ni
```

---

HoZn3Ni | PBE | relaxed

## Properties
The calculated total energy is -3.146 eV/atom. The value obtained for the energy relative to the elements is -0.31 eV/atom. The magnetization is 0.000 μB per atom. As for the space-group type: Cmcm.

Cell and atoms, written as POSCAR:
```
HoZn3Ni
1.0
6.249 0.838 0.000
3.099 5.491 0.000
0.000 0.000 5.400
Ho Zn Ni
2 6 2
direct
0.028 0.231 0.052 Ho
0.533 0.735 0.552 Ho
0.136 0.338 0.552 Zn
0.424 0.628 0.052 Zn
0.543 0.221 0.802 Zn
0.543 0.221 0.302 Zn
0.018 0.745 0.302 Zn
0.018 0.745 0.802 Zn
0.925 0.127 0.552 Ni
0.635 0.838 0.052 Ni
```